CeGd2Si PBE relaxed; E_form (uncorrected) = -89.7 kJ/mol of formula units; density = 7.7 Mg/m³; E above lowest polymorph = 32 meV per atom; volume = 104.2 Å³/f.u.; final energy = -10.1122 eV/atom
1.0
3.811 0.000 0.000
0.000 3.811 0.000
0.000 0.000 7.173
Ce Gd Si
1 2 1
Direct
0.000 0.000 0.000
0.500 0.500 0.295
0.500 0.500 0.705
0.000 0.000 0.500